No. 1
Entry from Alexandria via LeMat-Bulk: a relaxed CePm2NdHo5 crystal (PBE).

Structure (CIF):
```
data_CePm2NdHo5
_chemical_formula_sum 'Ce4 Pm8 Nd4 Ho20'
_symmetry_space_group_name_H-M 'I 4/m c m'
_symmetry_Int_Tables_number 140
_symmetry_space_group_name_Hall '-I 4 2c'
_cell_length_a 8.6784
_cell_length_b 8.6784
_cell_length_c 15.4637
_cell_angle_alpha 90.00
_cell_angle_beta 90.00
_cell_angle_gamma 90.00
loop_
_atom_site_label
_atom_site_type_symbol
_atom_site_fract_x
_atom_site_fract_y
_atom_site_fract_z
Ce1 Ce 0.0000 0.5000 0.2500
Pm1 Pm 0.1192 0.3808 0.0000
Nd1 Nd 0.0000 0.0000 0.2500
Ho1 Ho 0.0000 0.0000 0.0000
Ho2 Ho 0.2036 0.2964 0.3617
```



No. 2
Entry from Alexandria via LeMat-Bulk: a relaxed Ce2PmNd3Ho6 crystal (PBE).

Structure (CIF):
```
data_Ce2PmNd3Ho6
_chemical_formula_sum 'Ce4 Pm2 Nd6 Ho12'
_symmetry_space_group_name_H-M 'C 1 2/m 1'
_symmetry_Int_Tables_number 12
_cell_length_a 6.2003
_cell_length_b 10.7385
_cell_length_c 11.7456
_cell_angle_alpha 90.00
_cell_angle_beta 100.13
_cell_angle_gamma 90.00
loop_
_symmetry_equiv_pos_as_xyz
'x,y,z'
'-x,-y,-z'
'-x,y,-z'
'x,-y,z'
'x+1/2,y+1/2,z'
'-x+1/2,-y+1/2,-z'
'-x+1/2,y+1/2,-z'
'x+1/2,-y+1/2,z'
loop_
_atom_site_label
_atom_site_type_symbol
_atom_site_fract_x
_atom_site_fract_y
_atom_site_fract_z
Ce1 Ce 0.0000 0.1666 0.0000
Pm1 Pm 0.0000 0.5000 0.0000
Nd1 Nd 0.0000 0.0000 0.5000
Nd2 Nd 0.0000 0.3340 0.5000
Ho1 Ho 0.2467 0.0000 0.2466
Ho2 Ho 0.2496 0.1679 0.7535
```



No. 3
Entry from Alexandria via LeMat-Bulk: a relaxed CePmNd6Ho2 crystal (PBE).

Structure (CIF):
```
data_CePmNd6Ho2
_chemical_formula_sum 'Ce2 Pm2 Nd12 Ho4'
_symmetry_space_group_name_H-M 'C 1 2/m 1'
_symmetry_Int_Tables_number 12
_cell_length_a 11.3329
_cell_length_b 7.0149
_cell_length_c 8.9385
_cell_angle_alpha 90.00
_cell_angle_beta 102.85
_cell_angle_gamma 90.00
loop_
_symmetry_equiv_pos_as_xyz
'x,y,z'
'-x,-y,-z'
'-x,y,-z'
'x,-y,z'
'x+1/2,y+1/2,z'
'-x+1/2,-y+1/2,-z'
'-x+1/2,y+1/2,-z'
'x+1/2,-y+1/2,z'
loop_
_atom_site_label
_atom_site_type_symbol
_atom_site_fract_x
_atom_site_fract_y
_atom_site_fract_z
Ce1 Ce 0.0000 0.0000 0.0000
Pm1 Pm 0.0000 0.5000 0.5000
Nd1 Nd 0.1291 0.0000 0.4175
Nd2 Nd 0.1700 0.2647 0.7995
Ho1 Ho 0.0922 0.5000 0.1587
```



No. 4
Entry from Alexandria via LeMat-Bulk: a relaxed CePrNd2Ho crystal (PBE).

Structure (CIF):
```
data_CePrNd2Ho
_chemical_formula_sum 'Ce2 Pr2 Nd4 Ho2'
_symmetry_space_group_name_H-M 'P 1 2/c 1'
_symmetry_Int_Tables_number 13
_cell_length_a 8.5074
_cell_length_b 6.4171
_cell_length_c 6.2658
_cell_angle_alpha 90.00
_cell_angle_beta 91.42
_cell_angle_gamma 90.00
loop_
_symmetry_equiv_pos_as_xyz
'x,y,z'
'-x,-y,-z'
'-x,y,-z+1/2'
'x,-y,z+1/2'
loop_
_atom_site_label
_atom_site_type_symbol
_atom_site_fract_x
_atom_site_fract_y
_atom_site_fract_z
Ce1 Ce 0.0000 0.0452 0.2500
Pr1 Pr 0.0000 0.5000 0.0000
Nd1 Nd 0.3078 0.1917 0.7427
Ho1 Ho 0.5000 0.3273 0.2500
```



No. 5
Entry from Alexandria via LeMat-Bulk: a relaxed CePrNd6Ho2 crystal (PBE).

Structure (CIF):
```
data_CePrNd6Ho2
_chemical_formula_sum 'Ce2 Pr2 Nd12 Ho4'
_symmetry_space_group_name_H-M 'C 1 2/m 1'
_symmetry_Int_Tables_number 12
_cell_length_a 11.3555
_cell_length_b 6.9898
_cell_length_c 8.9820
_cell_angle_alpha 90.00
_cell_angle_beta 102.50
_cell_angle_gamma 90.00
loop_
_symmetry_equiv_pos_as_xyz
'x,y,z'
'-x,-y,-z'
'-x,y,-z'
'x,-y,z'
'x+1/2,y+1/2,z'
'-x+1/2,-y+1/2,-z'
'-x+1/2,y+1/2,-z'
'x+1/2,-y+1/2,z'
loop_
_atom_site_label
_atom_site_type_symbol
_atom_site_fract_x
_atom_site_fract_y
_atom_site_fract_z
Ce1 Ce 0.0000 0.0000 0.0000
Pr1 Pr 0.0000 0.5000 0.5000
Nd1 Nd 0.1309 0.0000 0.4182
Nd2 Nd 0.1688 0.2638 0.8006
Ho1 Ho 0.0930 0.5000 0.1562
```



No. 6
Entry from Alexandria via LeMat-Bulk: a relaxed CePr6NdHo2 crystal (PBE).

Structure (CIF):
```
data_CePr6NdHo2
_chemical_formula_sum 'Ce2 Pr12 Nd2 Ho4'
_symmetry_space_group_name_H-M 'C 1 2/m 1'
_symmetry_Int_Tables_number 12
_cell_length_a 11.3288
_cell_length_b 7.0828
_cell_length_c 8.9837
_cell_angle_alpha 90.00
_cell_angle_beta 102.10
_cell_angle_gamma 90.00
loop_
_symmetry_equiv_pos_as_xyz
'x,y,z'
'-x,-y,-z'
'-x,y,-z'
'x,-y,z'
'x+1/2,y+1/2,z'
'-x+1/2,-y+1/2,-z'
'-x+1/2,y+1/2,-z'
'x+1/2,-y+1/2,z'
loop_
_atom_site_label
_atom_site_type_symbol
_atom_site_fract_x
_atom_site_fract_y
_atom_site_fract_z
Ce1 Ce 0.0000 0.0000 0.0000
Pr1 Pr 0.1307 0.0000 0.4189
Pr2 Pr 0.1689 0.2652 0.7990
Nd1 Nd 0.0000 0.5000 0.5000
Ho1 Ho 0.0936 0.5000 0.1556
```



No. 7
Entry from Alexandria via LeMat-Bulk: a relaxed Ce2PrNd3Ho6 crystal (PBE).

Structure (CIF):
```
data_Ce2PrNd3Ho6
_chemical_formula_sum 'Ce4 Pr2 Nd6 Ho12'
_symmetry_space_group_name_H-M 'C 1 2/m 1'
_symmetry_Int_Tables_number 12
_cell_length_a 6.2109
_cell_length_b 10.7566
_cell_length_c 11.7565
_cell_angle_alpha 90.00
_cell_angle_beta 100.14
_cell_angle_gamma 90.00
loop_
_symmetry_equiv_pos_as_xyz
'x,y,z'
'-x,-y,-z'
'-x,y,-z'
'x,-y,z'
'x+1/2,y+1/2,z'
'-x+1/2,-y+1/2,-z'
'-x+1/2,y+1/2,-z'
'x+1/2,-y+1/2,z'
loop_
_atom_site_label
_atom_site_type_symbol
_atom_site_fract_x
_atom_site_fract_y
_atom_site_fract_z
Ce1 Ce 0.0000 0.1666 0.0000
Pr1 Pr 0.0000 0.5000 0.0000
Nd1 Nd 0.0000 0.0000 0.5000
Nd2 Nd 0.0000 0.3339 0.5000
Ho1 Ho 0.2466 0.0000 0.2471
Ho2 Ho 0.2494 0.1680 0.7529
```



No. 8
Entry from Alexandria via LeMat-Bulk: a relaxed CeNdHoPu crystal (PBE).

Structure (CIF):
```
data_CeNdHoPu
_chemical_formula_sum 'Ce4 Nd4 Ho4 Pu4'
_symmetry_space_group_name_H-M 'F -4 3 m'
_symmetry_Int_Tables_number 216
_symmetry_space_group_name_Hall 'F -4 2 3'
_cell_length_a 7.8958
_cell_length_b 7.8958
_cell_length_c 7.8958
_cell_angle_alpha 90.00
_cell_angle_beta 90.00
_cell_angle_gamma 90.00
loop_
_atom_site_label
_atom_site_type_symbol
_atom_site_fract_x
_atom_site_fract_y
_atom_site_fract_z
Ce1 Ce 0.0000 0.0000 0.0000
Nd1 Nd 0.0000 0.0000 0.5000
Ho1 Ho 0.2500 0.2500 0.2500
Pu1 Pu 0.2500 0.2500 0.7500
```



No. 9
# CeNd2HoS6 (PBE, optimized geometry)
# formation energy (no corrections): -1.997 eV/atom
data_CeNd2HoS6
_chemical_formula_sum 'Ce3 Nd6 Ho3 S18'
_symmetry_space_group_name_H-M 'R 3'
_symmetry_Int_Tables_number 146
_symmetry_space_group_name_Hall 'R 3'
_cell_length_a 7.1239
_cell_length_b 7.1239
_cell_length_c 18.7979
_cell_angle_alpha 90.00
_cell_angle_beta 90.00
_cell_angle_gamma 120.00
loop_
_atom_site_label
_atom_site_type_symbol
_atom_site_fract_x
_atom_site_fract_y
_atom_site_fract_z
Ce1 Ce 0.0000 0.0000 0.0000
Nd1 Nd 0.0000 0.0000 0.2913
Nd2 Nd 0.0000 0.0000 0.7939
Ho1 Ho 0.0000 0.0000 0.4967
S1 S 0.0410 0.3564 0.5645
S2 S 0.0442 0.6706 0.0657



No. 10
# Ce2NdHoS5 (PBE, optimized geometry)
# formation energy (no corrections): -1.505 eV/atom
data_Ce2NdHoS5
_chemical_formula_sum 'Ce2 Nd1 Ho1 S5'
_symmetry_space_group_name_H-M 'P 4/m m m'
_symmetry_Int_Tables_number 123
_symmetry_space_group_name_Hall '-P 4 2'
_cell_length_a 4.8823
_cell_length_b 4.8823
_cell_length_c 10.5268
_cell_angle_alpha 90.00
_cell_angle_beta 90.00
_cell_angle_gamma 90.00
loop_
_atom_site_label
_atom_site_type_symbol
_atom_site_fract_x
_atom_site_fract_y
_atom_site_fract_z
Ce1 Ce 0.0000 0.0000 0.1931
Nd1 Nd 0.5000 0.5000 0.5000
Ho1 Ho 0.5000 0.5000 0.0000
S1 S 0.0000 0.0000 0.5000
S2 S 0.0000 0.5000 0.0000
S3 S 0.5000 0.5000 0.2501



No. 11
# Ce2NdHoS4 (PBE, optimized geometry)
# formation energy (no corrections): -2.024 eV/atom
data_Ce2NdHoS4
_chemical_formula_sum 'Ce2 Nd1 Ho1 S4'
_symmetry_space_group_name_H-M 'P 1 2/m 1'
_symmetry_Int_Tables_number 10
_cell_length_a 6.9357
_cell_length_b 3.9884
_cell_length_c 6.9531
_cell_angle_alpha 90.00
_cell_angle_beta 109.27
_cell_angle_gamma 90.00
loop_
_symmetry_equiv_pos_as_xyz
'x,y,z'
'-x,-y,-z'
'-x,y,-z'
'x,-y,z'
loop_
_atom_site_label
_atom_site_type_symbol
_atom_site_fract_x
_atom_site_fract_y
_atom_site_fract_z
Ce1 Ce 0.0000 0.0000 0.0000
Ce2 Ce 0.5000 0.5000 0.0000
Nd1 Nd 0.0000 0.5000 0.5000
Ho1 Ho 0.5000 0.0000 0.5000
S1 S 0.2572 0.0000 0.7472
S2 S 0.2608 0.5000 0.2587



| no. | total magnetization (μB/f.u.) | calculated total energy (eV per atom) |
| --- | --- | --- |
| 1 | 1.02 | -4.52 |
| 2 | 1.92 | -4.82 |
| 3 | 1.26 | -4.61 |
| 4 | 0.78 | -4.70 |
| 5 | 1.34 | -4.61 |
| 6 | 1.25 | -4.62 |
| 7 | 1.92 | -4.82 |
| 8 | 8.56 | -7.20 |
| 9 | 1.03 | -6.48 |
| 10 | 3.33 | -6.16 |
| 11 | 1.59 | -6.74 |